Entry 1:
The following is a PBE calculation of an optimized crystal structure of Th2MgSc8, from the Alexandria database.

## Properties
- Total energy: -65.72 eV/cell
- Crystal system: tetragonal

a b c (Å): 4.714 4.714 13.332
angles (deg): 90.00 90.00 90.00
Fractional positions:
Th1 0.000 0.000 0.319
Th2 0.000 0.000 0.681
Mg1 0.000 0.000 0.000
Sc1 0.000 0.500 0.500
Sc2 0.500 0.000 0.500
Sc3 0.500 0.500 0.322
Sc4 0.500 0.500 0.678
Sc5 0.000 0.500 0.150
Sc6 0.500 0.000 0.150
Sc7 0.000 0.500 0.850
Sc8 0.500 0.000 0.850



Entry 2:
The following is a PBE calculation of an optimized crystal structure of Ga2AgPb2Au7, from the Alexandria database.

## Properties
- Total energy: -40.06 eV/cell
- Crystal system: monoclinic

a b c (Å): 4.180 4.180 14.562
angles (deg): 84.07 84.07 88.88
Fractional positions:
Ga1 0.587 0.587 0.741
Ga2 0.413 0.413 0.259
Ag1 0.000 0.000 0.000
Pb1 0.886 0.886 0.364
Pb2 0.114 0.114 0.636
Au1 0.500 0.500 0.000
Au2 0.340 0.340 0.438
Au3 0.660 0.660 0.562
Au4 0.950 0.448 0.147
Au5 0.448 0.950 0.147
Au6 0.552 0.050 0.853
Au7 0.050 0.552 0.853



Among the records above, which one has the highest total energy?
Ga2AgPb2Au7